Run w
Computed, not measured: KCaI2Br after structural relaxation at the PBE-GGA level of DFT.

```
data_KCaI2Br
_chemical_formula_sum 'K1 Ca1 I2 Br1'
_cell_length_a 6.211
_cell_length_b 6.211
_cell_length_c 5.645
_cell_angle_alpha 90.00
_cell_angle_beta 90.00
_cell_angle_gamma 90.00
_space_group_name_H-M_alt 'P 1'
_space_group_IT_number 1
_space_group_name_Hall 'P 1'
loop_
_atom_site_label
_atom_site_fract_x
_atom_site_fract_y
_atom_site_fract_z
_atom_site_occupancy
Br1 0.000 0.000 0.500 1
I1 0.000 0.500 0.000 1
I2 0.500 0.000 0.000 1
K1 0.500 0.500 0.500 1
Ca1 0.000 0.000 0.000 1
```

Summary:
ρ, g/cm³: 3.1
Total magnetization, μB per cell: 0.0

Run x
Computed, not measured: KCaI2Br after structural relaxation at the PBE-GGA level of DFT.

```
data_KCaI2Br
_chemical_formula_sum 'K2 Ca2 I4 Br2'
_cell_length_a 4.693
_cell_length_b 8.948
_cell_length_c 10.666
_cell_angle_alpha 102.44
_cell_angle_beta 90.00
_cell_angle_gamma 90.00
_space_group_name_H-M_alt 'P 1'
_space_group_IT_number 1
_space_group_name_Hall 'P 1'
loop_
_atom_site_label
_atom_site_fract_x
_atom_site_fract_y
_atom_site_fract_z
_atom_site_occupancy
I1 0.750 0.799 0.022 1
I2 0.250 0.069 0.345 1
I3 0.750 0.931 0.655 1
I4 0.250 0.201 0.978 1
Ca1 0.750 0.152 0.165 1
Ca2 0.250 0.848 0.835 1
Br1 0.750 0.453 0.314 1
Br2 0.250 0.547 0.686 1
K1 0.250 0.693 0.417 1
K2 0.750 0.307 0.583 1
```

Summary:
ρ, g/cm³: 3.1
Total magnetization, μB per cell: 0.0

Which of them is most stable, and which least? Most stable: run x; least stable: run w.

Run w
Computed, not measured: CaI2BrN after structural relaxation at the PBE-GGA level of DFT.

```
data_CaI2BrN
_chemical_formula_sum 'Ca1 I2 Br1 N1'
_cell_length_a 6.157
_cell_length_b 6.157
_cell_length_c 4.487
_cell_angle_alpha 90.00
_cell_angle_beta 90.00
_cell_angle_gamma 90.00
_space_group_name_H-M_alt 'P 1'
_space_group_IT_number 1
_space_group_name_Hall 'P 1'
loop_
_atom_site_label
_atom_site_fract_x
_atom_site_fract_y
_atom_site_fract_z
_atom_site_occupancy
Ca1 0.000 0.000 0.000 1
Br1 0.500 0.500 0.500 1
I1 0.000 0.500 0.000 1
I2 0.500 0.000 0.000 1
N1 0.000 0.000 0.500 1
```

Summary:
ρ, g/cm³: 3.8
Total magnetization, μB per cell: 0.0

Run x
Computed, not measured: CaI2BrN after structural relaxation at the PBE-GGA level of DFT.

```
data_CaI2BrN
_chemical_formula_sum 'Ca1 I2 Br1 N1'
_cell_length_a 6.439
_cell_length_b 6.439
_cell_length_c 3.822
_cell_angle_alpha 90.00
_cell_angle_beta 90.00
_cell_angle_gamma 90.00
_space_group_name_H-M_alt 'P 1'
_space_group_IT_number 1
_space_group_name_Hall 'P 1'
loop_
_atom_site_label
_atom_site_fract_x
_atom_site_fract_y
_atom_site_fract_z
_atom_site_occupancy
N1 0.000 0.000 0.500 1
Ca1 0.500 0.500 0.500 1
Br1 0.000 0.000 0.000 1
I1 0.500 0.000 0.000 1
I2 0.000 0.500 0.000 1
```

Summary:
ρ, g/cm³: 4.1
Total magnetization, μB per cell: 0.0

Which of them is most stable, and which least? Most stable: run x; least stable: run w.

Run w
Computed, not measured: CaIBrO2 after structural relaxation at the PBE-GGA level of DFT.

```
data_CaIBrO2
_chemical_formula_sum 'Ca1 I1 Br1 O2'
_cell_length_a 4.208
_cell_length_b 4.208
_cell_length_c 6.464
_cell_angle_alpha 90.00
_cell_angle_beta 90.00
_cell_angle_gamma 90.00
_space_group_name_H-M_alt 'P 1'
_space_group_IT_number 1
_space_group_name_Hall 'P 1'
loop_
_atom_site_label
_atom_site_fract_x
_atom_site_fract_y
_atom_site_fract_z
_atom_site_occupancy
O1 0.000 0.500 0.000 1
O2 0.500 0.000 0.000 1
Br1 0.000 0.000 0.000 1
Ca1 0.500 0.500 0.500 1
I1 0.000 0.000 0.500 1
```

Summary:
ρ, g/cm³: 4.0
Total magnetization, μB per cell: 0.0

Run x
Computed, not measured: CaIBrO2 after structural relaxation at the PBE-GGA level of DFT.

```
data_CaIBrO2
_chemical_formula_sum 'Ca1 I1 Br1 O2'
_cell_length_a 4.455
_cell_length_b 4.455
_cell_length_c 7.375
_cell_angle_alpha 90.00
_cell_angle_beta 90.00
_cell_angle_gamma 90.00
_space_group_name_H-M_alt 'P 1'
_space_group_IT_number 1
_space_group_name_Hall 'P 1'
loop_
_atom_site_label
_atom_site_fract_x
_atom_site_fract_y
_atom_site_fract_z
_atom_site_occupancy
O1 0.500 0.000 0.000 1
O2 0.000 0.500 0.000 1
Ca1 0.000 0.000 0.000 1
I1 0.000 0.000 0.500 1
Br1 0.500 0.500 0.500 1
```

Summary:
ρ, g/cm³: 3.2
Total magnetization, μB per cell: 2.1

Which of them is most stable, and which least? Most stable: run x; least stable: run w.

Run w
Computed, not measured: CaSb2IBr after structural relaxation at the PBE-GGA level of DFT.

```
data_CaSb2IBr
_chemical_formula_sum 'Ca1 Sb2 I1 Br1'
_cell_length_a 5.351
_cell_length_b 5.351
_cell_length_c 6.944
_cell_angle_alpha 90.00
_cell_angle_beta 90.00
_cell_angle_gamma 90.00
_space_group_name_H-M_alt 'P 1'
_space_group_IT_number 1
_space_group_name_Hall 'P 1'
loop_
_atom_site_label
_atom_site_fract_x
_atom_site_fract_y
_atom_site_fract_z
_atom_site_occupancy
I1 0.000 0.000 0.500 1
Ca1 0.500 0.500 0.500 1
Sb1 0.000 0.500 0.000 1
Sb2 0.500 0.000 0.000 1
Br1 0.000 0.000 0.000 1
```

Summary:
ρ, g/cm³: 4.1
Total magnetization, μB per cell: 0.3

Run x
Computed, not measured: CaSb2IBr after structural relaxation at the PBE-GGA level of DFT.

```
data_CaSb2IBr
_chemical_formula_sum 'Ca1 Sb2 I1 Br1'
_cell_length_a 5.977
_cell_length_b 5.977
_cell_length_c 5.780
_cell_angle_alpha 90.00
_cell_angle_beta 90.00
_cell_angle_gamma 90.00
_space_group_name_H-M_alt 'P 1'
_space_group_IT_number 1
_space_group_name_Hall 'P 1'
loop_
_atom_site_label
_atom_site_fract_x
_atom_site_fract_y
_atom_site_fract_z
_atom_site_occupancy
Sb1 0.500 0.000 0.000 1
Sb2 0.000 0.500 0.000 1
Br1 0.500 0.500 0.500 1
I1 0.000 0.000 0.500 1
Ca1 0.000 0.000 0.000 1
```

Summary:
ρ, g/cm³: 3.9
Total magnetization, μB per cell: 0.3

Which of them is most stable, and which least? Most stable: run w; least stable: run x.

Run w
Computed, not measured: CaSbI2Br after structural relaxation at the PBE-GGA level of DFT.

```
data_CaSbI2Br
_chemical_formula_sum 'Ca1 Sb1 I2 Br1'
_cell_length_a 5.808
_cell_length_b 5.808
_cell_length_c 6.540
_cell_angle_alpha 90.00
_cell_angle_beta 90.00
_cell_angle_gamma 90.00
_space_group_name_H-M_alt 'P 1'
_space_group_IT_number 1
_space_group_name_Hall 'P 1'
loop_
_atom_site_label
_atom_site_fract_x
_atom_site_fract_y
_atom_site_fract_z
_atom_site_occupancy
I1 0.000 0.500 0.000 1
I2 0.500 0.000 0.000 1
Sb1 0.000 0.000 0.500 1
Br1 0.500 0.500 0.500 1
Ca1 0.000 0.000 0.000 1
```

Summary:
ρ, g/cm³: 3.7
Total magnetization, μB per cell: 0.5

Run x
Computed, not measured: CaSbI2Br after structural relaxation at the PBE-GGA level of DFT.

```
data_CaSbI2Br
_chemical_formula_sum 'Ca1 Sb1 I2 Br1'
_cell_length_a 5.696
_cell_length_b 5.696
_cell_length_c 5.953
_cell_angle_alpha 90.00
_cell_angle_beta 90.00
_cell_angle_gamma 90.00
_space_group_name_H-M_alt 'P 1'
_space_group_IT_number 1
_space_group_name_Hall 'P 1'
loop_
_atom_site_label
_atom_site_fract_x
_atom_site_fract_y
_atom_site_fract_z
_atom_site_occupancy
I1 0.000 0.500 0.000 1
I2 0.500 0.000 0.000 1
Ca1 0.500 0.500 0.500 1
Br1 0.000 0.000 0.000 1
Sb1 0.000 0.000 0.500 1
```

Summary:
ρ, g/cm³: 4.3
Total magnetization, μB per cell: 0.0

Which of them is most stable, and which least? Most stable: run w; least stable: run x.

Run w
Computed, not measured: CaTeI2Br after structural relaxation at the PBE-GGA level of DFT.

```
data_CaTeI2Br
_chemical_formula_sum 'Ca1 Te1 I2 Br1'
_cell_length_a 5.678
_cell_length_b 5.678
_cell_length_c 6.145
_cell_angle_alpha 90.00
_cell_angle_beta 90.00
_cell_angle_gamma 90.00
_space_group_name_H-M_alt 'P 1'
_space_group_IT_number 1
_space_group_name_Hall 'P 1'
loop_
_atom_site_label
_atom_site_fract_x
_atom_site_fract_y
_atom_site_fract_z
_atom_site_occupancy
Br1 0.000 0.000 0.000 1
Ca1 0.500 0.500 0.500 1
I1 0.000 0.500 0.000 1
I2 0.500 0.000 0.000 1
Te1 0.000 0.000 0.500 1
```

Summary:
ρ, g/cm³: 4.2
Total magnetization, μB per cell: 0.0

Run x
Computed, not measured: CaTeI2Br after structural relaxation at the PBE-GGA level of DFT.

```
data_CaTeI2Br
_chemical_formula_sum 'Ca1 Te1 I2 Br1'
_cell_length_a 5.941
_cell_length_b 5.941
_cell_length_c 6.488
_cell_angle_alpha 90.00
_cell_angle_beta 90.00
_cell_angle_gamma 90.00
_space_group_name_H-M_alt 'P 1'
_space_group_IT_number 1
_space_group_name_Hall 'P 1'
loop_
_atom_site_label
_atom_site_fract_x
_atom_site_fract_y
_atom_site_fract_z
_atom_site_occupancy
Br1 0.500 0.500 0.500 1
I1 0.000 0.500 0.000 1
I2 0.500 0.000 0.000 1
Ca1 0.000 0.000 0.000 1
Te1 0.000 0.000 0.500 1
```

Summary:
ρ, g/cm³: 3.6
Total magnetization, μB per cell: 1.7

Which of them is most stable, and which least? Most stable: run x; least stable: run w.